! PBE-GGA Y3MnB2Pt9, relaxed; values from VASP
&SYSTEM
  ibrav = 0, nat = 15, ntyp = 4
/
ATOMIC_SPECIES
Y 88.91 Y.upf
Mn 54.94 Mn.upf
B 10.81 B.upf
Pt 195.08 Pt.upf
CELL_PARAMETERS angstrom
5.732 0.000 0.000
-2.866 4.964 0.000
0.000 0.000 9.258
ATOMIC_POSITIONS crystal
Y 0.000 0.000 0.000
Y 0.333 0.667 0.601
Y 0.667 0.333 0.399
Mn 0.000 0.000 0.500
B 0.333 0.667 0.148
B 0.667 0.333 0.852
Pt 0.000 0.500 0.000
Pt 0.164 0.329 0.286
Pt 0.164 0.836 0.286
Pt 0.329 0.164 0.714
Pt 0.500 0.000 0.000
Pt 0.500 0.500 0.000
Pt 0.671 0.836 0.286
Pt 0.836 0.164 0.714
Pt 0.836 0.671 0.714
! * size of the total moment: 0.283 μB per atom
! * space group: P-3m1
! * density: 13.23 g cm⁻³
! * formation energy from the elements: -0.80 eV/atom